# PBE-GGA Ca5MgTl, relaxed
data_Ca5MgTl
_cell_length_a 13.319
_cell_length_b 6.883
_cell_length_c 11.624
_cell_angle_alpha 90.00
_cell_angle_beta 101.21
_cell_angle_gamma 90.00
_symmetry_space_group_name_H-M 'C 1 2/c 1'
_symmetry_Int_Tables_number 15
loop_
_symmetry_equiv_pos_as_xyz
'x,y,z'
'-x,-y,-z'
'-x,y,-z+1/2'
'x,-y,z+1/2'
'x+1/2,y+1/2,z'
'-x+1/2,-y+1/2,-z'
'-x+1/2,y+1/2,-z+1/2'
'x+1/2,-y+1/2,z+1/2'
loop_
_atom_site_label
_atom_site_type_symbol
_atom_site_fract_x
_atom_site_fract_y
_atom_site_fract_z
_atom_site_occupancy
Ca1 Ca 0.000 0.197 0.250 1
Ca2 Ca 0.132 0.397 0.020 1
Ca3 Ca 0.213 0.128 0.671 1
Mg1 Mg 0.000 0.323 0.750 1
Tl1 Tl 0.000 0.000 0.000 1
# Electronic total energy ... -14.14 eV per formula unit
# Theoretical density ... 2.7 g cm⁻³
# Calculated formation energy ... -0.025 eV per atom
# Total magnetic moment ... 0.0 μB/cell